First-principles (PBE-GGA) data for an optimized crystal structure of MnBe6Ir5, as listed in Alexandria.

Geometry as CIF:
```
data_MnBe6Ir5
_space_group_name_H-M_alt 'P 1'
_space_group_IT_number 1
_cell_length_a 3.936
_cell_length_b 5.628
_cell_length_c 6.279
_cell_angle_alpha 90.00
_cell_angle_beta 108.36
_cell_angle_gamma 90.00
loop_
_space_group_symop_operation_xyz
'x,y,z'
loop_
_atom_site_label
_atom_site_fract_x
_atom_site_fract_y
_atom_site_fract_z
Mn1 0.000 0.000 0.000
Be1 0.174 0.257 0.348
Be2 0.174 0.743 0.348
Be3 0.500 0.266 0.000
Be4 0.500 0.734 0.000
Be5 0.826 0.257 0.652
Be6 0.826 0.743 0.652
Ir1 0.000 0.500 0.000
Ir2 0.335 0.500 0.671
Ir3 0.343 0.000 0.686
Ir4 0.657 0.000 0.314
Ir5 0.665 0.500 0.329
```

- energy of formation from the pure elements (meV/atom) = -538